[1]
Crystalline La2ErP2N6 at its relaxed geometry, computed with PBE.

The magnetization comes out at 1.0 μB/f.u. The space group is R-3m, No. 166. As for the total energy: -86.72 eV/cell. The density of states at the Fermi level is 2.1 states/eV/f.u. The uncorrected formation energy comes out at -1112 kJ/mol of formula units.

Cell: 5.6155 5.6155 6.7147 Å, 65.28 65.28 60.00°
Site moments in Bohr magnetons follow the coordinates.
Atoms (fractional coordinates):
N 0.7495 0.2623 0.7260  0.03
N 0.2623 0.2623 0.7260  0.03
N 0.2623 0.7495 0.7260  0.03
N 0.7377 0.2505 0.2740  0.03
N 0.2505 0.7377 0.2740  0.03
N 0.7377 0.7377 0.2740  0.03
La 0.2099 0.2099 0.3703  0.09
La 0.7901 0.7901 0.6297  0.09
P 0.4118 0.4118 0.7647  0.06
P 0.5882 0.5882 0.2353  0.06
Er 0.0000 0.0000 0.0000  0.00

[2]
Crystalline Li2HoThTe4 at its relaxed geometry, computed with PBE.

The magnetization comes out at 0.0 μB/f.u. The space group is P2/m, No. 10. As for the total energy: -37.80 eV/cell. The density of states at the Fermi level is 3.4 states/eV/f.u. The uncorrected formation energy comes out at -908 kJ/mol of formula units.

Cell: 4.3050 7.5032 7.5791 Å, 108.97 90.00 90.00°
Atoms (fractional coordinates):
Te 0.5000 0.2625 0.2665
Te 0.0000 0.7470 0.2594
Te 0.5000 0.7375 0.7335
Te 0.0000 0.2530 0.7406
Li 0.0000 0.5000 0.5000
Li 0.5000 0.0000 0.5000
Th 0.0000 0.0000 0.0000
Ho 0.5000 0.5000 0.0000

[3]
Crystalline CsCePbBr6 at its relaxed geometry, computed with PBE.

The magnetization comes out at 1.0 μB/f.u. The space group is Imma, No. 74. As for the total energy: -67.61 eV/cell. The density of states at the Fermi level is 8.0 states/eV/f.u. The uncorrected formation energy comes out at -1281 kJ/mol of formula units.

Cell: 11.0168 10.5713 10.8558 Å, 119.14 120.49 90.00°
Site moments in Bohr magnetons follow the coordinates.
Atoms (fractional coordinates):
Br 0.4163 0.0798 0.2529  0.01
Br 0.8159 0.0659 0.6318  0.01
Br 0.4072 0.6572 0.8144  0.00
Br 0.1634 0.3269 0.7471  0.01
Br 0.8366 0.0798 0.2529  0.01
Br 0.5837 0.9202 0.7471  0.01
Br 0.8366 0.6731 0.2529  0.01
Br 0.1634 0.9202 0.7471  0.01
Br 0.5928 0.3428 0.1856  0.00
Br 0.4163 0.6731 0.2529  0.01
Br 0.1841 0.9341 0.3682  0.01
Br 0.5837 0.3269 0.7471  0.01
Pb 0.5000 0.5000 0.0000  0.00
Pb 0.5000 0.0000 0.0000  0.00
Ce 0.5000 0.0000 0.5000  -0.98
Ce 0.0000 0.0000 0.5000  -0.98
Cs 0.1746 0.4246 0.3491  0.00
Cs 0.8254 0.5754 0.6509  0.00

[4]
Crystalline Na2SrTl at its relaxed geometry, computed with PBE.

The magnetization comes out at 0.0 μB/f.u. The space group is R-3m, No. 166. As for the total energy: -6.30 eV/cell. The density of states at the Fermi level is 3.3 states/eV/f.u. Its energy of formation is 97 meV per atom.

Cell: 3.8688 3.8688 12.7115 Å, 81.25 81.25 60.00°
Atoms (fractional coordinates):
Sr 0.0000 0.0000 0.0000
Na 0.0995 0.0995 0.7016
Na 0.9005 0.9005 0.2984
Tl 0.5000 0.5000 0.5000

[5]
Crystalline CrSnPt at its relaxed geometry, computed with PBE.

The magnetization comes out at 0.0 μB/f.u. The space group is Fmm2, No. 42. As for the total energy: -160.17 eV/cell. The density of states at the Fermi level is 2.1 states/eV/f.u. Its energy of formation is -118 meV per atom.

Cell: 12.6502 5.4377 6.3339 Å, 90.00 90.00 90.00°
Atoms (fractional coordinates):
Sn 0.1658 0.5000 0.0334
Sn 0.6658 0.5000 0.5334
Sn 0.3342 0.0000 0.0334
Sn 0.8342 0.0000 0.5334
Sn 0.6658 0.0000 0.0334
Sn 0.1658 0.0000 0.5334
Sn 0.3342 0.5000 0.5334
Sn 0.8342 0.5000 0.0334
Cr 0.5000 0.3226 0.2644
Cr 0.0000 0.1774 0.2644
Cr 0.5000 0.1774 0.7644
Cr 0.0000 0.3226 0.7644
Cr 0.5000 0.6774 0.2644
Cr 0.5000 0.8226 0.7644
Cr 0.0000 0.6774 0.7644
Cr 0.0000 0.8226 0.2644
Pt 0.8794 0.5000 0.4648
Pt 0.8794 0.0000 0.9648
Pt 0.1206 0.5000 0.4648
Pt 0.1206 0.0000 0.9648
Pt 0.3794 0.5000 0.9648
Pt 0.6206 0.0000 0.4648
Pt 0.6206 0.5000 0.9648
Pt 0.3794 0.0000 0.4648

[6]
Crystalline Ba2LaPt at its relaxed geometry, computed with PBE.

The magnetization comes out at 0.0 μB/f.u. The space group is Imm2, No. 44. As for the total energy: -16.48 eV/cell. The density of states at the Fermi level is 3.8 states/eV/f.u. Its energy of formation is -417 meV per atom.

Cell: 7.3359 7.3359 7.3359 Å, 147.80 128.23 62.29°
Atoms (fractional coordinates):
Ba 0.7447 0.2447 0.5000
Ba 0.0678 0.0678 0.0000
La 0.4193 0.4193 0.0000
Pt 0.2682 0.7682 0.5000

[7]
Crystalline KTa2Cd at its relaxed geometry, computed with PBE.

The magnetization comes out at 0.0 μB/f.u. The space group is Cmmm, No. 65. As for the total energy: -22.29 eV/cell. The density of states at the Fermi level is 4.7 states/eV/f.u. Its energy of formation is 858 meV per atom.

Cell: 2.8779 2.8779 11.7962 Å, 90.00 90.00 114.40°
Atoms (fractional coordinates):
Ta 0.0000 0.0000 0.4705
Ta 0.0000 0.0000 0.0295
K 0.5000 0.5000 0.7500
Cd 0.5000 0.5000 0.2500

[8]
Crystalline Hf6CuN3 at its relaxed geometry, computed with PBE.

The magnetization comes out at 0.0 μB/f.u. The space group is P2_1/m, No. 11. As for the total energy: -199.68 eV/cell. The density of states at the Fermi level is 3.3 states/eV/f.u. The uncorrected formation energy comes out at -1066 kJ/mol of formula units.

Cell: 3.2238 11.5164 9.8551 Å, 124.12 90.00 90.00°
Atoms (fractional coordinates):
Hf 0.2500 0.0535 0.9096
Hf 0.2500 0.8697 0.5138
Hf 0.7500 0.7707 0.7100
Hf 0.7500 0.3338 0.0972
Hf 0.2500 0.2293 0.2900
Hf 0.7500 0.9465 0.0904
Hf 0.7500 0.6298 0.1671
Hf 0.2500 0.3702 0.8329
Hf 0.2500 0.6662 0.9028
Hf 0.7500 0.4433 0.6016
Hf 0.2500 0.5567 0.3984
Hf 0.7500 0.1303 0.4862
N 0.2500 0.8590 0.9031
N 0.7500 0.7192 0.4477
N 0.7500 0.5204 0.8784
N 0.7500 0.1410 0.0969
N 0.2500 0.4796 0.1216
N 0.2500 0.2808 0.5523
Cu 0.7500 0.1293 0.7497
Cu 0.2500 0.8707 0.2503

[9]
Crystalline Mn2CoRh9 at its relaxed geometry, computed with PBE.

The magnetization comes out at 8.5 μB/f.u. The space group is P4/mmm, No. 123. As for the total energy: -92.26 eV/cell. The density of states at the Fermi level is 17.7 states/eV/f.u. Its energy of formation is -54 meV per atom.

Cell: 3.8032 3.8032 11.4164 Å, 90.00 90.00 90.00°
Site moments in Bohr magnetons follow the coordinates.
Atoms (fractional coordinates):
Co 0.0000 0.0000 0.0000  1.91
Rh 0.0000 0.5000 0.8358  0.17
Rh 0.0000 0.5000 0.5000  -0.18
Rh 0.0000 0.5000 0.1642  0.17
Rh 0.5000 0.5000 0.6677  -0.07
Rh 0.5000 0.0000 0.8358  0.17
Rh 0.5000 0.5000 0.3323  -0.07
Rh 0.5000 0.0000 0.5000  -0.18
Rh 0.5000 0.0000 0.1642  0.17
Rh 0.5000 0.5000 0.0000  0.30
Mn 0.0000 0.0000 0.6649  3.04
Mn 0.0000 0.0000 0.3351  3.04

[10]
Crystalline Er2ZrCo at its relaxed geometry, computed with PBE.

The magnetization comes out at 0.0 μB/f.u. The space group is Pnma, No. 62. As for the total energy: -101.61 eV/cell. The density of states at the Fermi level is 4.4 states/eV/f.u. Its energy of formation is -155 meV per atom.

Cell: 6.1056 6.6057 9.1708 Å, 90.00 90.00 90.00°
Atoms (fractional coordinates):
Er 0.1776 0.6806 0.0651
Er 0.1776 0.6806 0.4349
Er 0.6776 0.8194 0.9349
Er 0.8224 0.3194 0.5651
Er 0.3224 0.1806 0.4349
Er 0.6776 0.8194 0.5651
Er 0.3224 0.1806 0.0651
Er 0.8224 0.3194 0.9349
Zr 0.8559 0.0435 0.2500
Zr 0.1441 0.9565 0.7500
Zr 0.6441 0.5435 0.2500
Zr 0.3559 0.4565 0.7500
Co 0.4749 0.8843 0.2500
Co 0.0251 0.3843 0.2500
Co 0.5251 0.1157 0.7500
Co 0.9749 0.6157 0.7500

[11]
Crystalline KPIr2 at its relaxed geometry, computed with PBE.

The magnetization comes out at 0.0 μB/f.u. The space group is I-4m2, No. 119. As for the total energy: -20.12 eV/cell. The density of states at the Fermi level is 4.5 states/eV/f.u. Its energy of formation is 1028 meV per atom.

Cell: 4.5227 4.5227 4.5227 Å, 116.66 116.66 95.88°
Atoms (fractional coordinates):
K 0.5000 0.5000 0.0000
Ir 0.2500 0.7500 0.5000
Ir 0.0000 0.0000 0.0000
P 0.7500 0.2500 0.5000

[12]
Crystalline RbMgBiTe3 at its relaxed geometry, computed with PBE.

The magnetization comes out at 0.0 μB/f.u. The space group is P2_1/m, No. 11. As for the total energy: -40.27 eV/cell. The uncorrected formation energy comes out at -412 kJ/mol of formula units.

Cell: 4.5935 10.2065 10.8226 Å, 107.96 90.00 90.00°
Atoms (fractional coordinates):
Te 0.7500 0.8810 0.1250
Te 0.7500 0.2032 0.5306
Te 0.2500 0.1190 0.8750
Te 0.2500 0.5383 0.8396
Te 0.2500 0.7968 0.4694
Te 0.7500 0.4617 0.1604
Bi 0.7500 0.3329 0.8714
Bi 0.2500 0.6671 0.1286
Rb 0.2500 0.2040 0.2391
Rb 0.7500 0.7960 0.7609
Mg 0.7500 0.9136 0.3907
Mg 0.2500 0.0864 0.6093

[13]
Crystalline FeP2S at its relaxed geometry, computed with PBE.

The magnetization comes out at 0.0 μB/f.u. The space group is Cm, No. 8. As for the total energy: -47.79 eV/cell. The density of states at the Fermi level is 0.1 states/eV/f.u. The uncorrected formation energy comes out at -47 kJ/mol of formula units.

Cell: 4.3080 6.1206 6.1196 Å, 64.53 90.20 89.81°
Atoms (fractional coordinates):
P 0.7429 0.7137 0.7258
P 0.7530 0.7889 0.1994
P 0.7529 0.2402 0.6507
P 0.1997 0.8560 0.5835
Fe 0.4802 0.9224 0.8676
Fe 0.4802 0.5718 0.5171
S 0.1930 0.6400 0.1792
S 0.1930 0.2603 0.7996

[14]
Crystalline ZnCo2Ni at its relaxed geometry, computed with PBE.

The magnetization comes out at 3.6 μB/f.u. The space group is P4/mmm, No. 123. As for the total energy: -21.14 eV/cell. The density of states at the Fermi level is 5.9 states/eV/f.u. Its energy of formation is 32 meV per atom.

Cell: 2.5305 2.5305 7.2263 Å, 90.00 90.00 90.00°
Site moments in Bohr magnetons follow the coordinates.
Atoms (fractional coordinates):
Co 0.0000 0.0000 0.7620  1.51
Co 0.0000 0.0000 0.2380  1.51
Ni 0.5000 0.5000 0.0000  0.77
Zn 0.5000 0.5000 0.5000  -0.05

[15]
Crystalline TcAgSb2Ru at its relaxed geometry, computed with PBE.

The magnetization comes out at 1.9 μB/f.u. The space group is P4/mmm, No. 123. As for the total energy: -25.70 eV/cell. The density of states at the Fermi level is 5.9 states/eV/f.u. The uncorrected formation energy comes out at 486 kJ/mol of formula units.

Cell: 5.0801 4.7890 5.0801 Å, 90.00 90.00 90.00°
Site moments in Bohr magnetons follow the coordinates.
Atoms (fractional coordinates):
Ag 0.5000 0.5000 0.5000  0.00
Sb 0.5000 0.0000 0.0000  -0.01
Sb 0.0000 0.0000 0.5000  -0.02
Ru 0.0000 0.0000 0.0000  -0.01
Tc 0.0000 0.5000 0.0000  1.75

[16]
Crystalline BaBeAs at its relaxed geometry, computed with PBE.

The magnetization comes out at 0.0 μB/f.u. The space group is P-6m2, No. 187. As for the total energy: -12.09 eV/cell. The density of states at the Fermi level is 1.6 states/eV/f.u. Its energy of formation is -596 meV per atom.

Cell: 5.1414 3.9982 3.9982 Å, 120.00 90.00 90.00°
Atoms (fractional coordinates):
Ba 0.6666 0.3333 0.6667
As 0.1666 0.0000 0.0000
Be 0.1668 0.6667 0.3333

[17]
Crystalline LiMgBr at its relaxed geometry, computed with PBE.

The magnetization comes out at 0.0 μB/f.u. The space group is P4mm, No. 99. As for the total energy: -15.24 eV/cell. The density of states at the Fermi level is 0.7 states/eV/f.u. The uncorrected formation energy comes out at -235 kJ/mol of formula units.

Cell: 3.6092 3.6092 11.1805 Å, 90.00 90.00 90.00°
Atoms (fractional coordinates):
Mg 0.5000 0.5000 0.0020
Mg 0.0000 0.0000 0.8507
Li 0.5000 0.5000 0.5373
Li 0.0000 0.0000 0.2249
Br 0.5000 0.5000 0.3032
Br 0.0000 0.0000 0.5958

[18]
Crystalline NaCeHgPt at its relaxed geometry, computed with PBE.

The magnetization comes out at 0.7 μB/f.u. The space group is F-43m, No. 216. As for the total energy: -15.29 eV/cell. The density of states at the Fermi level is 7.6 states/eV/f.u. Its energy of formation is -424 meV per atom.

Cell: 5.0737 5.0737 5.0737 Å, 60.00 60.00 60.00°
Site moments in Bohr magnetons follow the coordinates.
Atoms (fractional coordinates):
Na 0.0000 0.0000 0.0000  0.00
Ce 0.5000 0.5000 0.5000  0.64
Hg 0.2500 0.2500 0.2500  0.01
Pt 0.7500 0.7500 0.7500  -0.03

[19]
Crystalline Y2FeRu3 at its relaxed geometry, computed with PBE.

The magnetization comes out at 1.9 μB/f.u. The space group is R-3m, No. 166. As for the total energy: -50.83 eV/cell. The density of states at the Fermi level is 5.3 states/eV/f.u. Its energy of formation is -268 meV per atom.

Cell: 5.3793 5.3793 5.2349 Å, 90.00 120.95 119.97°
Site moments in Bohr magnetons follow the coordinates.
Atoms (fractional coordinates):
Y 0.2499 0.6251 0.8750  -0.09
Y 0.7501 0.3749 0.1250  -0.09
Ru 0.0000 0.0000 0.5000  -0.03
Ru 0.5000 0.0000 0.5000  -0.04
Ru 0.5000 0.5000 0.5000  -0.03
Fe 0.0000 0.0000 0.0000  2.36

[20]
Crystalline Sc6Fe2Sn at its relaxed geometry, computed with PBE.

The magnetization comes out at 0.3 μB/f.u. The space group is Immm, No. 71. As for the total energy: -123.30 eV/cell. The density of states at the Fermi level is 9.7 states/eV/f.u. Its energy of formation is -304 meV per atom.

Cell: 7.8229 7.8229 7.8229 Å, 106.51 111.12 110.83°
Site moments in Bohr magnetons follow the coordinates.
Atoms (fractional coordinates):
Sc 0.7025 0.3893 0.6868  -0.02
Sc 0.2975 0.9842 0.6868  -0.02
Sc 0.7025 0.0158 0.3132  -0.02
Sc 0.5226 0.7143 0.8083  -0.03
Sc 0.2224 0.7648 0.9872  -0.02
Sc 0.2224 0.2352 0.4576  -0.02
Sc 0.0941 0.2857 0.8083  -0.03
Sc 0.2975 0.6107 0.3132  -0.02
Sc 0.4774 0.2857 0.1917  -0.03
Sc 0.7776 0.2352 0.0128  -0.02
Sc 0.9059 0.7143 0.1917  -0.03
Sc 0.7776 0.7648 0.5424  -0.02
Fe 0.6237 0.0000 0.6237  0.08
Fe 0.5000 0.3858 0.8858  0.37
Fe 0.5000 0.6142 0.1142  0.37
Fe 0.3763 0.0000 0.3763  0.08
Sn 0.0000 0.5000 0.5000  0.00
Sn 0.0000 0.0000 0.0000  0.00